Record 1
# KLi

A geometry-optimized KLi structure (GGA-PBE, Alexandria via LeMat-Bulk).

Output
Crystal system   orthorhombic
Symmetry   Imm2
E_form   0.135 eV per atom
D(E_F)   0.96 states/eV/f.u.

abc: 15.6060 4.2496 8.2826
angles: 90.00 90.00 90.00
Fractional positions:
1 Li 0.0948 0.5000 0.6044
2 Li 0.5948 0.0000 0.1044
3 Li 0.9052 0.5000 0.6044
4 Li 0.4052 0.0000 0.1044
5 Li 0.5000 0.5000 0.9166
6 Li 0.0000 0.0000 0.4166
7 K 0.7914 0.5000 0.2197
8 K 0.0000 0.0000 0.9370
9 K 0.2914 0.0000 0.7197
10 K 0.5000 0.5000 0.4370
11 K 0.7086 0.0000 0.7197
12 K 0.2086 0.5000 0.2197

---

Record 2
# K8Li

A geometry-optimized K8Li structure (GGA-PBE, Alexandria via LeMat-Bulk).

Output
Crystal system   tetragonal
Symmetry   I4/mmm
Energy above the most stable polymorph in this dataset   0.00 eV/f.u.
E_form   0.049 eV per atom
D(E_F)   5.52 states/eV/f.u.

abc: 10.1767 10.1767 10.1767
angles: 95.53 95.53 143.83
Fractional positions:
1 K 0.0000 0.3229 0.3229
2 K 0.3434 0.3434 0.6867
3 K 0.6566 0.6566 0.3133
4 K 0.3229 0.0000 0.3229
5 K 0.6771 0.0000 0.6771
6 K 0.0000 0.6771 0.6771
7 K 0.3434 0.6566 0.0000
8 K 0.6566 0.3434 0.0000
9 Li 0.0000 0.0000 0.0000

---

Record 3
# KLi3

A geometry-optimized KLi3 structure (GGA-PBE, Alexandria via LeMat-Bulk).

Output
Crystal system   orthorhombic
Symmetry   Cmmm
E_form   0.110 eV per atom
D(E_F)   2.09 states/eV/f.u.

abc: 3.7703 3.7703 8.8090
angles: 90.00 90.00 90.27
Fractional positions:
1 Li 0.0000 0.0000 0.5000
2 Li 0.5000 0.5000 0.3281
3 Li 0.5000 0.5000 0.6719
4 K 0.0000 0.0000 0.0000

---

Record 4
# KLi3

A geometry-optimized KLi3 structure (GGA-PBE, Alexandria via LeMat-Bulk).

Output
Crystal system   monoclinic
Symmetry   C2/m
E_form   0.146 eV per atom
D(E_F)   2.19 states/eV/f.u.

abc: 5.3363 5.3363 7.2712
angles: 82.38 82.38 39.04
Fractional positions:
1 Li 0.7665 0.7665 0.6588
2 Li 0.5000 0.5000 0.5000
3 Li 0.2335 0.2335 0.3412
4 K 0.0000 0.0000 0.0000

---

Record 5
# KLi4

A geometry-optimized KLi4 structure (GGA-PBE, Alexandria via LeMat-Bulk).

Output
Crystal system   cubic
Symmetry   Im-3m
Energy above the most stable polymorph in this dataset   0.00 eV/f.u.
E_form   0.567 eV per atom
D(E_F)   2.50 states/eV/f.u.

abc: 6.3539 6.3539 6.3539
angles: 109.47 109.47 109.47
Fractional positions:
1 K 0.0000 0.0000 0.0000
2 Li 0.0000 0.0000 0.5000
3 Li 0.5000 0.0000 0.0000
4 Li 0.5000 0.5000 0.5000
5 Li 0.0000 0.5000 0.0000

---

Record 6
# KLi

A geometry-optimized KLi structure (GGA-PBE, Alexandria via LeMat-Bulk).

Output
Crystal system   orthorhombic
Symmetry   Imma
E_form   0.138 eV per atom
D(E_F)   1.29 states/eV/f.u.

abc: 7.5154 7.5154 7.5154
angles: 147.10 129.33 61.74
Fractional positions:
1 Li 0.2924 0.7924 0.5000
2 Li 0.4576 0.4576 0.0000
3 K 0.7294 0.2294 0.5000
4 K 0.0206 0.0206 0.0000

---

- Among the records above, which one has the highest D(E_F)?
  K8Li

---

- Which formula does entry 5 have?
  KLi4

---

Please write out number 3 again, unchanged.
# KLi3

A geometry-optimized KLi3 structure (GGA-PBE, Alexandria via LeMat-Bulk).

Output
Crystal system   orthorhombic
Symmetry   Cmmm
E_form   0.110 eV per atom
D(E_F)   2.09 states/eV/f.u.

abc: 3.7703 3.7703 8.8090
angles: 90.00 90.00 90.27
Fractional positions:
1 Li 0.0000 0.0000 0.5000
2 Li 0.5000 0.5000 0.3281
3 Li 0.5000 0.5000 0.6719
4 K 0.0000 0.0000 0.0000

---

- Which value of D(E_F) does entry 4 give?
  2.19 states/eV/f.u.